(1)
Computed, not measured: a PBEsol-optimized structure of HfNbCuRu2 at the meta-GGA SCAN level of DFT.

Geometry as CIF:
```
data_HfNbCuRu2
_chemical_formula_sum 'Hf1 Nb1 Cu1 Ru2'
_cell_length_a 4.594
_cell_length_b 4.594
_cell_length_c 4.932
_cell_angle_alpha 90.00
_cell_angle_beta 90.00
_cell_angle_gamma 90.00
_symmetry_space_group_name_H-M 'P 4/m m m'
_symmetry_Int_Tables_number 123
_symmetry_space_group_name_Hall '-P 4 2'
loop_
_atom_site_label
_atom_site_type_symbol
_atom_site_fract_x
_atom_site_fract_y
_atom_site_fract_z
_atom_site_occupancy
Hf1 Hf 0.000 0.000 0.000 1
Nb1 Nb 0.000 0.000 0.500 1
Cu1 Cu 0.500 0.500 0.000 1
Ru1 Ru 0.000 0.500 0.500 1
```

Calculated values
total magnetization	0.172	μB/atom
energy relative to the elements	1.542	eV/atom

***

(2)
Computed, not measured: a PBEsol-optimized structure of TlSb2Ir at the meta-GGA SCAN level of DFT.

Geometry as CIF:
```
data_TlSb2Ir
_chemical_formula_sum 'Tl2 Sb4 Ir2'
_cell_length_a 4.556
_cell_length_b 4.556
_cell_length_c 8.327
_cell_angle_alpha 90.00
_cell_angle_beta 90.00
_cell_angle_gamma 90.00
_symmetry_space_group_name_H-M 'I -4 m 2'
_symmetry_Int_Tables_number 119
_symmetry_space_group_name_Hall 'I -4 -2'
loop_
_atom_site_label
_atom_site_type_symbol
_atom_site_fract_x
_atom_site_fract_y
_atom_site_fract_z
_atom_site_occupancy
Tl1 Tl 0.000 0.000 0.000 1
Sb1 Sb 0.000 0.000 0.500 1
Sb2 Sb 0.000 0.500 0.750 1
Ir1 Ir 0.000 0.500 0.250 1
```

Calculated values
formation energy from raw total energies	0.6360	eV/atom
energy relative to the lowest polymorph listed for this composition	0.6307	eV per atom
total magnetization	0.000	μB/atom

***

(3)
Computed, not measured: a PBEsol-optimized structure of ZrTiS4 at the meta-GGA SCAN level of DFT.

Geometry as CIF:
```
data_ZrTiS4
_chemical_formula_sum 'Zr1 Ti1 S4'
_cell_length_a 3.4965
_cell_length_b 3.4965
_cell_length_c 11.3757
_cell_angle_alpha 90.00
_cell_angle_beta 90.00
_cell_angle_gamma 120.00
_symmetry_space_group_name_H-M 'P -3 m 1'
_symmetry_Int_Tables_number 164
_symmetry_space_group_name_Hall '-P 3 2"'
loop_
_atom_site_label
_atom_site_type_symbol
_atom_site_fract_x
_atom_site_fract_y
_atom_site_fract_z
_atom_site_occupancy
Zr1 Zr 0.0000 0.0000 0.0000 1
Ti1 Ti 0.0000 0.0000 0.5000 1
S1 S 0.3333 0.6667 0.1334 1
S2 S 0.3333 0.6667 0.6197 1
```

Calculated values
formation energy from raw total energies	-1.5826	eV/atom
total magnetization	0.000	μB/atom

***

(4)
Computed, not measured: a PBEsol-optimized structure of YSiAs2 at the meta-GGA SCAN level of DFT.

Geometry as CIF:
```
data_YSiAs2
_chemical_formula_sum 'Y1 Si1 As2'
_cell_length_a 3.314
_cell_length_b 3.314
_cell_length_c 7.615
_cell_angle_alpha 90.00
_cell_angle_beta 90.00
_cell_angle_gamma 90.00
_symmetry_space_group_name_H-M 'P 4 m m'
_symmetry_Int_Tables_number 99
loop_
_symmetry_equiv_pos_as_xyz
'x,y,z'
'-y,x,z'
'-x,-y,z'
'y,-x,z'
'-x,y,z'
'y,x,z'
'x,-y,z'
'-y,-x,z'
loop_
_atom_site_label
_atom_site_type_symbol
_atom_site_fract_x
_atom_site_fract_y
_atom_site_fract_z
_atom_site_occupancy
Y1 Y 0.000 0.000 0.000 1
Si1 Si 0.500 0.500 0.721 1
As1 As 0.000 0.000 0.592 1
As2 As 0.500 0.500 0.239 1
```

Calculated values
formation energy from raw total energies	-0.1602	eV/atom
total magnetization	0.000	μB/atom

***

(5)
Computed, not measured: a PBEsol-optimized structure of Cd2AgSe at the meta-GGA SCAN level of DFT.

Geometry as CIF:
```
data_Cd2AgSe
_chemical_formula_sum 'Cd6 Ag3 Se3'
_cell_length_a 3.9625
_cell_length_b 3.9625
_cell_length_c 19.3572
_cell_angle_alpha 90.00
_cell_angle_beta 90.00
_cell_angle_gamma 120.00
_symmetry_space_group_name_H-M 'R -3 m'
_symmetry_Int_Tables_number 166
_symmetry_space_group_name_Hall '-R 3 2"'
loop_
_atom_site_label
_atom_site_type_symbol
_atom_site_fract_x
_atom_site_fract_y
_atom_site_fract_z
_atom_site_occupancy
Cd1 Cd 0.0000 0.0000 0.2491 1
Ag1 Ag 0.0000 0.0000 0.5000 1
Se1 Se 0.0000 0.0000 0.0000 1
```

Calculated values
formation energy from raw total energies	-0.1221	eV/atom
total magnetization	0.000	μB/atom

***

(6)
Computed, not measured: a PBEsol-optimized structure of CaSc2SiW at the meta-GGA SCAN level of DFT.

Geometry as CIF:
```
data_CaSc2SiW
_chemical_formula_sum 'Ca1 Sc2 Si1 W1'
_cell_length_a 4.964
_cell_length_b 4.964
_cell_length_c 5.253
_cell_angle_alpha 90.00
_cell_angle_beta 90.00
_cell_angle_gamma 90.00
_symmetry_space_group_name_H-M 'P 4/m m m'
_symmetry_Int_Tables_number 123
_symmetry_space_group_name_Hall '-P 4 2'
loop_
_atom_site_label
_atom_site_type_symbol
_atom_site_fract_x
_atom_site_fract_y
_atom_site_fract_z
_atom_site_occupancy
Ca1 Ca 0.000 0.000 0.000 1
Sc1 Sc 0.000 0.500 0.500 1
Si1 Si 0.000 0.000 0.500 1
W1 W 0.500 0.500 0.000 1
```

Calculated values
formation energy from raw total energies	0.9414	eV/atom
total magnetization	0.836	μB/atom

***

(7)
Computed, not measured: a PBEsol-optimized structure of KReAu2 at the meta-GGA SCAN level of DFT.

Geometry as CIF:
```
data_KReAu2
_chemical_formula_sum 'K2 Re2 Au4'
_cell_length_a 8.783
_cell_length_b 2.688
_cell_length_c 7.234
_cell_angle_alpha 90.00
_cell_angle_beta 94.60
_cell_angle_gamma 90.00
_symmetry_space_group_name_H-M 'C 1 2/m 1'
_symmetry_Int_Tables_number 12
loop_
_symmetry_equiv_pos_as_xyz
'x,y,z'
'-x,-y,-z'
'-x,y,-z'
'x,-y,z'
'x+1/2,y+1/2,z'
'-x+1/2,-y+1/2,-z'
'-x+1/2,y+1/2,-z'
'x+1/2,-y+1/2,z'
loop_
_atom_site_label
_atom_site_type_symbol
_atom_site_fract_x
_atom_site_fract_y
_atom_site_fract_z
_atom_site_occupancy
K1 K 0.000 0.000 0.000 1
Re1 Re 0.000 0.500 0.500 1
Au1 Au 0.240 0.000 0.680 1
```

Calculated values
energy relative to the lowest polymorph listed for this composition	0.0000	eV per atom
total magnetization	0.199	μB/atom
energy relative to the elements	0.524	eV/atom

***

(8)
Computed, not measured: a PBEsol-optimized structure of PtAu2 at the meta-GGA SCAN level of DFT.

Geometry as CIF:
```
data_PtAu2
_chemical_formula_sum 'Pt4 Au8'
_cell_length_a 5.743
_cell_length_b 3.944
_cell_length_c 8.601
_cell_angle_alpha 90.00
_cell_angle_beta 90.00
_cell_angle_gamma 90.00
_symmetry_space_group_name_H-M 'P n m a'
_symmetry_Int_Tables_number 62
loop_
_symmetry_equiv_pos_as_xyz
'x,y,z'
'-x,-y,-z'
'-x+1/2,-y,z+1/2'
'x+1/2,y,-z+1/2'
'x+1/2,-y+1/2,-z+1/2'
'-x+1/2,y+1/2,z+1/2'
'-x,y+1/2,-z'
'x,-y+1/2,z'
loop_
_atom_site_label
_atom_site_type_symbol
_atom_site_fract_x
_atom_site_fract_y
_atom_site_fract_z
_atom_site_occupancy
Pt1 Pt 0.121 0.250 0.081 1
Au1 Au 0.125 0.250 0.417 1
Au2 Au 0.126 0.250 0.751 1
```

Calculated values
energy relative to the lowest polymorph listed for this composition	0.0113	eV per atom
total magnetization	0.000	μB/atom
energy relative to the elements	0.072	eV/atom